[1]
Here is a PBEsol-optimized structure of Li4V3CrO8 from Alexandria via LeMat-Bulk. Energies are from SCAN.

Unit cell a=4.8199 b=5.1855 c=5.5853 alpha=74.29 beta=89.98 gamma=80.80
With the nearest neighbours (Å) after each atom.
Sites, in units of the cell vectors:
Li 0.2418 0.0083 0.1200  6 O 2.01-2.14
Li 0.2531 0.9894 0.6330  6 O 1.99-2.13
Li 0.7469 0.0106 0.3670  6 O 1.99-2.13
Li 0.7582 0.9917 0.8800  6 O 2.01-2.14
V 0.0001 0.4998 0.2827  6 O 1.95-2.07
V 0.9999 0.5002 0.7173  6 O 1.95-2.07
V 0.5000 0.5000 0.5000  6 O 1.99-2.04
Cr 0.5000 0.5000 0.0000  6 O 1.94-1.99
O 0.1264 0.7186 0.9455  1 Cr 1.94, 3 Li 2.05-2.14, 2 V 2.07
O 0.1265 0.7610 0.4334  3 V 1.95-2.04, 3 Li 1.99-2.04
O 0.3703 0.2651 0.8098  2 V 1.98-1.99, 1 Cr 1.99, 3 Li 2.04-2.12
O 0.3705 0.2662 0.3079  2 V 1.97-1.99, 1 Cr 1.98, 3 Li 2.04-2.13
O 0.6295 0.7338 0.6921  2 V 1.97-1.99, 1 Cr 1.98, 3 Li 2.04-2.13
O 0.6297 0.7349 0.1902  2 V 1.98-1.99, 1 Cr 1.99, 3 Li 2.04-2.12
O 0.8735 0.2390 0.5666  3 V 1.95-2.04, 3 Li 1.99-2.04
O 0.8736 0.2814 0.0545  1 Cr 1.94, 3 Li 2.05-2.14, 2 V 2.07

Properties
- Total magnetization: 2.853 μB/cell
- Symmetry: P-1 (2)
- Calculated density: 4.518 g cm⁻³
- DOS(E_F): 0.142 states/eV/atom
- Energy relative to the elements, uncorrected: -2.507 eV per atom
- Energy relative to the lowest polymorph listed for this composition: 0.0333 eV/atom

---

[2]
Here is a PBEsol-optimized structure of Li2VCr3O8 from Alexandria via LeMat-Bulk. Energies are from SCAN.

Unit cell a=5.7584 b=5.7584 c=5.8103 alpha=118.78 beta=118.78 gamma=60.09
With the nearest neighbours (Å) after each atom.
Sites, in units of the cell vectors:
Li 0.0000 0.5000 0.0000  6 O 2.12-2.19
Li 0.5000 0.0000 0.0000  6 O 2.12-2.19
V 0.0000 0.0000 0.5000  6 O 1.90-1.92
Cr 0.0000 0.5000 0.5000  6 O 1.96-1.98
Cr 0.5000 0.0000 0.5000  6 O 1.96-1.98
Cr 0.5000 0.5000 0.5000  6 O 1.93-1.95
O 0.2322 0.2322 0.7159  1 V 1.92, 2 Cr 1.98, 2 Li 2.12
O 0.2319 0.7428 0.7060  1 V 1.90, 2 Cr 1.95-1.97
O 0.2572 0.7681 0.2940  1 V 1.90, 2 Cr 1.95-1.97
O 0.2671 0.2671 0.2888  3 Cr 1.93-1.96, 2 Li 2.15
O 0.7329 0.7329 0.7112  3 Cr 1.93-1.96, 2 Li 2.15
O 0.7428 0.2319 0.7060  1 V 1.90, 2 Cr 1.95-1.97
O 0.7681 0.2572 0.2940  1 V 1.90, 2 Cr 1.95-1.97
O 0.7678 0.7678 0.2841  1 V 1.92, 2 Cr 1.98, 2 Li 2.12

Properties
- Total magnetization: 9.001 μB/cell
- Symmetry: C2/m (12)
- Calculated density: 4.173 g cm⁻³
- DOS(E_F): 0.066 states/eV/atom
- Energy relative to the elements, uncorrected: -2.451 eV per atom
- Energy relative to the lowest polymorph listed for this composition: 0.0670 eV/atom

---

[3]
Here is a PBEsol-optimized structure of Li10V3Cr5O16 from Alexandria via LeMat-Bulk. Energies are from SCAN.

Unit cell a=5.8929 b=5.8929 c=9.6522 alpha=90.03 beta=90.03 gamma=59.02
With the nearest neighbours (Å) after each atom.
Sites, in units of the cell vectors:
Li 0.0000 0.0000 0.0000  4 O 1.83-1.86
Li 0.0040 0.0040 0.4994  4 O 1.83-1.86
Li 0.1941 0.6145 0.4282  3 O 1.92-2.03, 1 Li 2.09
Li 0.2001 0.2001 0.4289  3 O 1.92-2.06, 1 Li 2.12
Li 0.3312 0.3312 0.2097  6 O 2.07-2.19
Li 0.3942 0.8173 0.9263  3 O 1.94-2.03, 1 Li 2.12
Li 0.6145 0.1941 0.4282  3 O 1.92-2.03, 1 Li 2.09
Li 0.6717 0.6717 0.7101  6 O 2.09-2.14
Li 0.8093 0.8093 0.9294  3 O 1.92-2.00, 1 Li 2.07
Li 0.8173 0.3942 0.9263  3 O 1.94-2.03, 1 Li 2.12
V 0.1729 0.1729 0.6978  6 O 2.03-2.07
V 0.3427 0.8267 0.1970  6 O 2.02-2.10
V 0.8267 0.3427 0.1970  6 O 2.02-2.10
Cr 0.1726 0.6671 0.6986  6 O 1.99-2.05
Cr 0.3364 0.3364 0.9578  6 O 2.03-2.09
Cr 0.6671 0.1726 0.6986  6 O 1.99-2.05
Cr 0.6683 0.6683 0.4589  6 O 2.03-2.09
Cr 0.8326 0.8326 0.1986  6 O 1.98-2.04
O 0.0015 0.0015 0.8078  1 Li 1.86, 2 Cr 1.99, 1 V 2.05
O 0.0268 0.4992 0.8201  3 Li 1.92-2.09, 2 Cr 1.99-2.05, 1 V 2.03
O 0.1634 0.6680 0.0774  1 Li 1.84, 2 Cr 2.03-2.04
O 0.1654 0.1654 0.0717  1 Li 1.83
O 0.3337 0.8349 0.5771  1 Li 1.83, 1 Cr 2.04
O 0.3403 0.3403 0.5820  2 Cr 2.00, 3 Li 2.03-2.06, 1 V 2.05
O 0.4943 0.4943 0.8218  3 Li 1.96-2.12, 3 Cr 2.01-2.09
O 0.4992 0.0268 0.8201  3 Li 1.92-2.09, 2 Cr 1.99-2.05, 1 V 2.03
O 0.5134 0.5134 0.3271  2 Li 1.92, 2 V 2.02, 1 Cr 2.03
O 0.5137 0.9815 0.3215  3 Li 1.92-2.07, 2 Cr 2.00-2.07, 1 V 2.06
O 0.6680 0.1634 0.0774  1 Li 1.84, 2 Cr 2.03-2.04
O 0.6731 0.6731 0.0776  3 Li 2.00-2.03, 1 Cr 2.01, 2 V 2.03
O 0.8349 0.3337 0.5771  1 Li 1.83, 1 Cr 2.04
O 0.8390 0.8390 0.5780  1 Li 1.86, 2 Cr 2.05
O 0.9815 0.5137 0.3215  3 Li 1.92-2.07, 2 Cr 2.00-2.07, 1 V 2.06
O 0.9963 0.9963 0.3081  1 Li 1.85, 1 Cr 1.98, 2 V 2.05

Properties
- Total magnetization: 23.008 μB/cell
- Symmetry: Cm (8)
- Calculated density: 4.265 g cm⁻³
- DOS(E_F): 0.173 states/eV/atom
- Energy relative to the elements, uncorrected: -2.346 eV per atom

---

Number 1 is which compound? Li4V3CrO8

---

Which value of energy relative to the elements, uncorrected does entry 2 give? -2.451 eV per atom

---

Look up the calculated density of the first one. 4.518 g cm⁻³